YScGaCo | PBE | relaxed

E in eV per atom: -6.09

Cell lengths 4.774, 4.774, 4.774 Å; angles 60.00, 60.00, 60.00 degrees
Atoms (fractional coordinates):
Y  0.000  0.000  0.000
Sc  0.500  0.500  0.500
Co  0.250  0.250  0.250
Ga  0.750  0.750  0.750



Sc2ZnGa2Co5 | PBE | relaxed

E in eV per atom: -5.75

Cell lengths 3.374, 9.075, 9.075 Å; angles 90.00, 90.00, 90.00 degrees
Atoms (fractional coordinates):
Sc  0.000  0.671  0.171
Sc  0.000  0.329  0.829
Sc  0.000  0.171  0.329
Sc  0.000  0.829  0.671
Zn  0.000  0.000  0.000
Zn  0.000  0.500  0.500
Ga  0.000  0.127  0.627
Ga  0.000  0.873  0.373
Ga  0.000  0.627  0.873
Ga  0.000  0.373  0.127
Co  0.500  0.197  0.062
Co  0.500  0.803  0.938
Co  0.500  0.062  0.803
Co  0.500  0.697  0.438
Co  0.500  0.938  0.197
Co  0.500  0.303  0.562
Co  0.500  0.562  0.697
Co  0.500  0.438  0.303
Co  0.500  0.500  0.000
Co  0.500  0.000  0.500



Ga2CoSe | PBE | relaxed

Uncorrected formation energy in meV/atom: 183

Cell lengths 5.884, 5.884, 6.662 Å; angles 63.79, 63.79, 90.00 degrees
Atoms (fractional coordinates):
Co  0.500  0.500  0.000
Co  0.250  0.750  0.500
Ga  0.589  0.125  0.250
Ga  0.161  0.625  0.250
Ga  0.375  0.411  0.750
Ga  0.875  0.839  0.750
Se  0.000  0.000  0.000
Se  0.750  0.250  0.500



GaCo2Se2 | PBE | relaxed

Offset from the most stable computed form in eV/f.u.: 1.92
Uncorrected formation energy in meV/atom: 255

Cell lengths 7.426, 7.426, 2.897 Å; angles 90.00, 90.00, 90.00 degrees
Atoms (fractional coordinates):
Co  0.121  0.621  0.500
Co  0.621  0.879  0.500
Co  0.879  0.379  0.500
Co  0.379  0.121  0.500
Ga  0.000  0.000  0.000
Ga  0.500  0.500  0.000
Se  0.354  0.854  0.000
Se  0.854  0.646  0.000
Se  0.646  0.146  0.000
Se  0.146  0.354  0.000



GaCo4Se8 | PBE | relaxed

Uncorrected formation energy in meV/atom: -332

Cell lengths 7.181, 7.181, 7.181 Å; angles 60.00, 60.00, 60.00 degrees
Atoms (fractional coordinates):
Ga  0.750  0.750  0.750
Co  0.888  0.371  0.371
Co  0.371  0.888  0.371
Co  0.371  0.371  0.888
Co  0.371  0.371  0.371
Se  0.580  0.140  0.140
Se  0.140  0.580  0.140
Se  0.140  0.140  0.580
Se  0.140  0.140  0.140
Se  0.170  0.610  0.610
Se  0.610  0.170  0.610
Se  0.610  0.610  0.170
Se  0.610  0.610  0.610



Ga3CoSe | PBE | relaxed

Offset from the most stable computed form in eV/f.u.: 5.15
Uncorrected formation energy in meV/atom: 973

Cell lengths 5.039, 5.039, 5.039 Å; angles 90.00, 90.00, 90.00 degrees
Atoms (fractional coordinates):
Co  0.500  0.500  0.500
Ga  0.000  0.500  0.000
Ga  0.000  0.000  0.500
Ga  0.500  0.000  0.000
Se  0.000  0.000  0.000



Record-wise magnetization values, in μB per cell: 0.8 4.2 1.3 0.0 0.0 1.9
Record-wise density of states at the Fermi level values, in states/eV/cell: 2.961 16.189 5.418 9.250 12.698 4.202